[1]
! PaFeP | the Alexandria database | PBE | optimized geometry; values from VASP
! DFT total energy in eV per atom: -8.64
! Energy of formation from the pure elements in meV/atom: -846
! SG: No. 11
&SYSTEM
  ibrav = 0, nat = 6, ntyp = 3
/
ATOMIC_SPECIES
Pa 231.04 Pa.upf
Fe 55.84 Fe.upf
P 30.97 P.upf
ATOMIC_POSITIONS crystal
Pa 0.198 0.250 0.158
Pa 0.802 0.750 0.842
Fe 0.254 0.750 0.496
Fe 0.746 0.250 0.504
P 0.280 0.250 0.698
P 0.720 0.750 0.302
CELL_PARAMETERS angstrom
3.870 0.000 0.000
0.000 3.822 0.000
-0.643 0.000 6.382



[2]
! BaSrZnPt | the Alexandria database | PBE | optimized geometry; values from VASP
! DFT total energy in eV per atom: -3.13
! Excess energy over the best structure of this formula in the dataset in meV per atom: 182
! Energy of formation from the pure elements in meV/atom: -405
! SG: No. 216
&SYSTEM
  ibrav = 0, nat = 16, ntyp = 4
/
ATOMIC_SPECIES
Ba 137.33 Ba.upf
Sr 87.62 Sr.upf
Zn 65.41 Zn.upf
Pt 195.08 Pt.upf
ATOMIC_POSITIONS crystal
Ba 0.000 0.000 0.000
Ba 0.000 0.500 0.500
Ba 0.500 0.000 0.500
Ba 0.500 0.500 0.000
Sr 0.000 0.000 0.500
Sr 0.000 0.500 0.000
Sr 0.500 0.000 0.000
Sr 0.500 0.500 0.500
Zn 0.250 0.250 0.250
Zn 0.250 0.750 0.750
Zn 0.750 0.250 0.750
Zn 0.750 0.750 0.250
Pt 0.250 0.250 0.750
Pt 0.250 0.750 0.250
Pt 0.750 0.250 0.250
Pt 0.750 0.750 0.750
CELL_PARAMETERS angstrom
7.743 0.000 0.000
0.000 7.743 0.000
0.000 0.000 7.743



[3]
! TmThBi | the Alexandria database | PBE | optimized geometry; values from VASP
! DFT total energy in eV per atom: -5.59
! Excess energy over the best structure of this formula in the dataset in meV per atom: 86
! Energy of formation from the pure elements in meV/atom: -336
! SG: No. 107
&SYSTEM
  ibrav = 0, nat = 6, ntyp = 3
/
ATOMIC_SPECIES
Tm 168.93 Tm.upf
Th 232.04 Th.upf
Bi 208.98 Bi.upf
ATOMIC_POSITIONS crystal
Tm 0.000 0.000 0.000
Tm 0.500 0.500 0.500
Th 0.000 0.000 0.312
Th 0.500 0.500 0.812
Bi 0.000 0.000 0.643
Bi 0.500 0.500 0.143
CELL_PARAMETERS angstrom
4.024 0.000 0.000
0.000 4.024 0.000
0.000 0.000 11.418



[4]
! SrAc3S6 | the Alexandria database | PBE | optimized geometry; values from VASP
! DFT total energy in eV per atom: -5.72
! SG: No. 12
! ΔE_f (raw) in meV/atom: -1838.1
&SYSTEM
  ibrav = 0, nat = 10, ntyp = 3
/
ATOMIC_SPECIES
Sr 87.62 Sr.upf
Ac 227.00 Ac.upf
S 32.06 S.upf
ATOMIC_POSITIONS crystal
Sr 0.000 0.000 0.000
Ac 0.252 0.252 0.823
Ac 0.500 0.500 0.500
Ac 0.748 0.748 0.177
S 0.155 0.653 0.155
S 0.255 0.255 0.430
S 0.347 0.845 0.845
S 0.653 0.155 0.155
S 0.745 0.745 0.570
S 0.845 0.347 0.845
CELL_PARAMETERS angstrom
6.855 -3.832 0.000
6.855 3.832 0.000
-3.886 0.000 6.354



[5]
! TbPaCrC3 | the Alexandria database | PBE | optimized geometry; values from VASP
! DFT total energy in eV per atom: -8.77
! Energy of formation from the pure elements in meV/atom: -197
! SG: No. 12
&SYSTEM
  ibrav = 0, nat = 12, ntyp = 4
/
ATOMIC_SPECIES
Tb 158.93 Tb.upf
Pa 231.04 Pa.upf
Cr 52.00 Cr.upf
C 12.01 C.upf
ATOMIC_POSITIONS crystal
Tb 0.146 0.146 0.078
Tb 0.854 0.854 0.922
Pa 0.147 0.147 0.570
Pa 0.853 0.853 0.430
Cr 0.495 0.495 0.239
Cr 0.505 0.505 0.761
C 0.002 0.002 0.256
C 0.336 0.336 0.645
C 0.345 0.345 0.186
C 0.655 0.655 0.814
C 0.664 0.664 0.355
C 0.998 0.998 0.744
CELL_PARAMETERS angstrom
6.587 -1.904 0.000
6.587 1.904 0.000
-1.877 0.000 6.696



[6]
! TcPdSe3 | the Alexandria database | PBE | optimized geometry; values from VASP
! DFT total energy in eV per atom: -4.31
! Excess energy over the best structure of this formula in the dataset in meV per atom: 1026
! SG: No. 221
! ΔE_f (raw) in meV/atom: 888.0
&SYSTEM
  ibrav = 0, nat = 5, ntyp = 3
/
ATOMIC_SPECIES
Tc 98.00 Tc.upf
Pd 106.42 Pd.upf
Se 78.96 Se.upf
ATOMIC_POSITIONS crystal
Tc 0.000 0.000 0.000
Pd 0.500 0.500 0.500
Se 0.000 0.500 0.500
Se 0.500 0.000 0.500
Se 0.500 0.500 0.000
CELL_PARAMETERS angstrom
4.923 0.000 0.000
0.000 4.923 0.000
0.000 0.000 4.923



Calculated magnetization (μB/f.u.), listed in the same order as above: 0.00; 0.00; 0.00; 0.96; 0.00; 3.82
Calculated ρ (Mg/m³), listed in the same order as above: 11.2; 6.9; 11.0; 4.8; 9.4; 6.1